(a)
## In3As (PBE-GGA)

Data for crystalline In3As at its relaxed geometry.

Geometry as CIF:
```
data_In3As
_chemical_formula_sum 'In6 As2'
_cell_length_a 6.7864
_cell_length_b 6.7864
_cell_length_c 5.1265
_cell_angle_alpha 90.00
_cell_angle_beta 90.00
_cell_angle_gamma 120.00
_space_group_name_H-M_alt 'P 63/m m c'
_space_group_IT_number 194
_space_group_name_Hall '-P 6c 2c'
loop_
_atom_site_label
_atom_site_type_symbol
_atom_site_fract_x
_atom_site_fract_y
_atom_site_fract_z
_atom_site_occupancy
In1 In 0.1713 0.3427 0.2500 1
As1 As 0.3333 0.6667 0.7500 1
```


(b)
## In3As (PBE-GGA)

Data for crystalline In3As at its relaxed geometry.

Geometry as CIF:
```
data_In3As
_chemical_formula_sum 'In3 As1'
_cell_length_a 3.677
_cell_length_b 3.677
_cell_length_c 7.550
_cell_angle_alpha 90.00
_cell_angle_beta 90.00
_cell_angle_gamma 90.00
_space_group_name_H-M_alt 'P 4/m m m'
_space_group_IT_number 123
_space_group_name_Hall '-P 4 2'
loop_
_atom_site_label
_atom_site_type_symbol
_atom_site_fract_x
_atom_site_fract_y
_atom_site_fract_z
_atom_site_occupancy
In1 In 0.000 0.000 0.000 1
In2 In 0.500 0.500 0.286 1
As1 As 0.000 0.000 0.500 1
```


Of them, the most stable is (b) and the least stable is (a).


(a)
## In3As (PBE-GGA)

Data for crystalline In3As at its relaxed geometry.

Geometry as CIF:
```
data_In3As
_chemical_formula_sum 'In3 As1'
_cell_length_a 3.237
_cell_length_b 4.965
_cell_length_c 6.387
_cell_angle_alpha 90.00
_cell_angle_beta 90.00
_cell_angle_gamma 90.00
_space_group_name_H-M_alt 'P m m 2'
_space_group_IT_number 25
loop_
_space_group_symop_operation_xyz
'x,y,z'
'-x,-y,z'
'-x,y,z'
'x,-y,z'
loop_
_atom_site_label
_atom_site_type_symbol
_atom_site_fract_x
_atom_site_fract_y
_atom_site_fract_z
_atom_site_occupancy
In1 In 0.000 0.000 0.000 1
In2 In 0.000 0.500 0.312 1
In3 In 0.500 0.500 0.780 1
As1 As 0.500 0.000 0.513 1
```


(b)
## In3As (PBE-GGA)

Data for crystalline In3As at its relaxed geometry.

Geometry as CIF:
```
data_In3As
_chemical_formula_sum 'In6 As2'
_cell_length_a 3.853
_cell_length_b 11.083
_cell_length_c 4.888
_cell_angle_alpha 90.00
_cell_angle_beta 90.00
_cell_angle_gamma 90.00
_space_group_name_H-M_alt 'I m m 2'
_space_group_IT_number 44
loop_
_space_group_symop_operation_xyz
'x,y,z'
'-x,-y,z'
'-x,y,z'
'x,-y,z'
'x+1/2,y+1/2,z+1/2'
'-x+1/2,-y+1/2,z+1/2'
'-x+1/2,y+1/2,z+1/2'
'x+1/2,-y+1/2,z+1/2'
loop_
_atom_site_label
_atom_site_type_symbol
_atom_site_fract_x
_atom_site_fract_y
_atom_site_fract_z
_atom_site_occupancy
In1 In 0.000 0.000 0.000 1
In2 In 0.000 0.202 0.542 1
As1 As 0.000 0.500 0.927 1
```


Of them, the most stable is (b) and the least stable is (a).


(a)
## In3As (PBE-GGA)

Data for crystalline In3As at its relaxed geometry.

Geometry as CIF:
```
data_In3As
_chemical_formula_sum 'In6 As2'
_cell_length_a 6.146
_cell_length_b 10.282
_cell_length_c 3.197
_cell_angle_alpha 90.00
_cell_angle_beta 90.00
_cell_angle_gamma 90.00
_space_group_name_H-M_alt 'C m m m'
_space_group_IT_number 65
_space_group_name_Hall '-C 2 2'
loop_
_atom_site_label
_atom_site_type_symbol
_atom_site_fract_x
_atom_site_fract_y
_atom_site_fract_z
_atom_site_occupancy
In1 In 0.000 0.000 0.000 1
In2 In 0.250 0.250 0.500 1
As1 As 0.000 0.500 0.000 1
```


(b)
## In3As (PBE-GGA)

Data for crystalline In3As at its relaxed geometry.

Geometry as CIF:
```
data_In3As
_chemical_formula_sum 'In3 As1'
_cell_length_a 5.737
_cell_length_b 5.737
_cell_length_c 5.737
_cell_angle_alpha 90.00
_cell_angle_beta 90.00
_cell_angle_gamma 90.00
_space_group_name_H-M_alt 'P m -3 m'
_space_group_IT_number 221
_space_group_name_Hall '-P 4 2 3'
loop_
_atom_site_label
_atom_site_type_symbol
_atom_site_fract_x
_atom_site_fract_y
_atom_site_fract_z
_atom_site_occupancy
In1 In 0.000 0.000 0.500 1
As1 As 0.000 0.000 0.000 1
```


Of them, the most stable is (a) and the least stable is (b).


(a)
## In3As (PBE-GGA)

Data for crystalline In3As at its relaxed geometry.

Geometry as CIF:
```
data_In3As
_chemical_formula_sum 'In3 As1'
_cell_length_a 3.2622
_cell_length_b 3.2622
_cell_length_c 11.0457
_cell_angle_alpha 90.00
_cell_angle_beta 90.00
_cell_angle_gamma 120.00
_space_group_name_H-M_alt 'P -6 m 2'
_space_group_IT_number 187
_space_group_name_Hall 'P -6 2'
loop_
_atom_site_label
_atom_site_type_symbol
_atom_site_fract_x
_atom_site_fract_y
_atom_site_fract_z
_atom_site_occupancy
In1 In 0.0000 0.0000 0.0000 1
In2 In 0.6667 0.3333 0.2710 1
As1 As 0.0000 0.0000 0.5000 1
```


(b)
## In3As (PBE-GGA)

Data for crystalline In3As at its relaxed geometry.

Geometry as CIF:
```
data_In3As
_chemical_formula_sum 'In12 As4'
_cell_length_a 6.935
_cell_length_b 10.080
_cell_length_c 6.040
_cell_angle_alpha 90.00
_cell_angle_beta 90.00
_cell_angle_gamma 90.00
_space_group_name_H-M_alt 'P n m a'
_space_group_IT_number 62
loop_
_space_group_symop_operation_xyz
'x,y,z'
'-x,-y,-z'
'-x+1/2,-y,z+1/2'
'x+1/2,y,-z+1/2'
'x+1/2,-y+1/2,-z+1/2'
'-x+1/2,y+1/2,z+1/2'
'-x,y+1/2,-z'
'x,-y+1/2,z'
loop_
_atom_site_label
_atom_site_type_symbol
_atom_site_fract_x
_atom_site_fract_y
_atom_site_fract_z
_atom_site_occupancy
In1 In 0.094 0.250 0.125 1
In2 In 0.222 0.555 0.112 1
As1 As 0.025 0.750 0.411 1
```


Of them, the most stable is (b) and the least stable is (a).


(a)
## In4As (PBE-GGA)

Data for crystalline In4As at its relaxed geometry.

Geometry as CIF:
```
data_In4As
_chemical_formula_sum 'In8 As2'
_cell_length_a 4.063
_cell_length_b 4.063
_cell_length_c 16.935
_cell_angle_alpha 90.00
_cell_angle_beta 90.00
_cell_angle_gamma 90.00
_space_group_name_H-M_alt 'I 4/m m m'
_space_group_IT_number 139
_space_group_name_Hall '-I 4 2'
loop_
_atom_site_label
_atom_site_type_symbol
_atom_site_fract_x
_atom_site_fract_y
_atom_site_fract_z
_atom_site_occupancy
In1 In 0.000 0.000 0.088 1
In2 In 0.000 0.500 0.250 1
As1 As 0.000 0.000 0.500 1
```


(b)
## In4As (PBE-GGA)

Data for crystalline In4As at its relaxed geometry.

Geometry as CIF:
```
data_In4As
_chemical_formula_sum 'In4 As1'
_cell_length_a 5.455
_cell_length_b 5.455
_cell_length_c 5.455
_cell_angle_alpha 90.00
_cell_angle_beta 90.00
_cell_angle_gamma 90.00
_space_group_name_H-M_alt 'P m -3 m'
_space_group_IT_number 221
_space_group_name_Hall '-P 4 2 3'
loop_
_atom_site_label
_atom_site_type_symbol
_atom_site_fract_x
_atom_site_fract_y
_atom_site_fract_z
_atom_site_occupancy
In1 In 0.000 0.000 0.000 1
In2 In 0.000 0.500 0.500 1
As1 As 0.500 0.500 0.500 1
```


(c)
## In4As (PBE-GGA)

Data for crystalline In4As at its relaxed geometry.

Geometry as CIF:
```
data_In4As
_chemical_formula_sum 'In8 As2'
_cell_length_a 7.223
_cell_length_b 7.223
_cell_length_c 4.952
_cell_angle_alpha 90.00
_cell_angle_beta 90.00
_cell_angle_gamma 90.00
_space_group_name_H-M_alt 'I 4/m'
_space_group_IT_number 87
_space_group_name_Hall '-I 4'
loop_
_atom_site_label
_atom_site_type_symbol
_atom_site_fract_x
_atom_site_fract_y
_atom_site_fract_z
_atom_site_occupancy
In1 In 0.114 0.300 0.000 1
As1 As 0.000 0.000 0.500 1
```


Of them, the most stable is (c) and the least stable is (b).


(a)
## InAs4 (PBE-GGA)

Data for crystalline InAs4 at its relaxed geometry.

Geometry as CIF:
```
data_InAs4
_chemical_formula_sum 'In2 As8'
_cell_length_a 6.335
_cell_length_b 6.335
_cell_length_c 6.335
_cell_angle_alpha 90.00
_cell_angle_beta 90.00
_cell_angle_gamma 90.00
_space_group_name_H-M_alt 'I m -3 m'
_space_group_IT_number 229
_space_group_name_Hall '-I 4 2 3'
loop_
_atom_site_label
_atom_site_type_symbol
_atom_site_fract_x
_atom_site_fract_y
_atom_site_fract_z
_atom_site_occupancy
In1 In 0.000 0.000 0.000 1
As1 As 0.250 0.250 0.250 1
```


(b)
## InAs4 (PBE-GGA)

Data for crystalline InAs4 at its relaxed geometry.

Geometry as CIF:
```
data_InAs4
_chemical_formula_sum 'In1 As4'
_cell_length_a 5.170
_cell_length_b 5.170
_cell_length_c 5.170
_cell_angle_alpha 90.00
_cell_angle_beta 90.00
_cell_angle_gamma 90.00
_space_group_name_H-M_alt 'P m -3 m'
_space_group_IT_number 221
_space_group_name_Hall '-P 4 2 3'
loop_
_atom_site_label
_atom_site_type_symbol
_atom_site_fract_x
_atom_site_fract_y
_atom_site_fract_z
_atom_site_occupancy
In1 In 0.000 0.000 0.000 1
As1 As 0.000 0.000 0.500 1
As2 As 0.500 0.500 0.500 1
```


Of them, the most stable is (a) and the least stable is (b).